Entry 1:
Tb4AlRh | Alexandria | GGA-PBE | optimized geometry; energy of formation from the pure elements = -0.4129 eV per atom; energy above the lowest structure with this stoichiometry = 0.57 eV per formula unit; SG = C2/c (15)
1.0
4.439 -6.722 0.000
4.439 6.722 0.000
-2.689 0.000 5.386
Tb Al Rh
8 2 2
direct
0.060 0.701 0.918 Tb
0.219 0.357 0.679 Tb
0.299 0.940 0.582 Tb
0.357 0.219 0.179 Tb
0.643 0.781 0.821 Tb
0.701 0.060 0.418 Tb
0.781 0.643 0.321 Tb
0.940 0.299 0.082 Tb
0.372 0.628 0.250 Al
0.628 0.372 0.750 Al
0.001 0.999 0.750 Rh
0.999 0.001 0.250 Rh

***

Entry 2:
Be3C | Alexandria | GGA-PBE | optimized geometry; energy of formation from the pure elements = 0.7048 eV per atom; energy above the lowest structure with this stoichiometry = 1.99 eV per formula unit; SG = Cmmm (65)
1.0
1.481 -2.190 0.000
1.481 2.190 0.000
0.000 0.000 5.060
Be C
3 1
direct
0.000 0.000 0.000 Be
0.500 0.500 0.310 Be
0.500 0.500 0.690 Be
0.000 0.000 0.500 C

***

Entry 3:
CuSbPI2 | Alexandria | GGA-PBE | optimized geometry; energy above the lowest structure with this stoichiometry = 0.07 eV per formula unit; SG = P4/mmm (123); ΔE_f (raw) = 811 meV/atom
1.0
5.234 0.000 0.000
0.000 5.234 0.000
0.000 0.000 5.179
Cu Sb P I
1 1 1 2
direct
0.000 0.000 0.000 Cu
0.000 0.000 0.500 Sb
0.500 0.500 0.500 P
0.000 0.500 0.000 I
0.500 0.000 0.000 I

***

Entry 4:
La2Tb4Tm7 | Alexandria | GGA-PBE | optimized geometry; energy of formation from the pure elements = 0.1916 eV per atom; SG = P-31m (162)
1.0
6.039 0.000 0.000
-3.019 5.230 0.000
0.000 0.000 13.395
La Tb Tm
2 4 7
direct
0.333 0.667 0.000 La
0.667 0.333 0.000 La
0.000 0.000 0.395 Tb
0.000 0.000 0.605 Tb
0.333 0.667 0.500 Tb
0.667 0.333 0.500 Tb
0.000 0.000 0.000 Tm
0.000 0.349 0.785 Tm
0.000 0.651 0.215 Tm
0.349 0.000 0.785 Tm
0.349 0.349 0.215 Tm
0.651 0.000 0.215 Tm
0.651 0.651 0.785 Tm

***

Number 1: V 26.8 A^3/atom. Number 2: V 8.2 A^3/atom. Number 3: V 28.4 A^3/atom. Number 4: V 32.5 A^3/atom.